# In2Ag5Au5

A geometry-optimized In2Ag5Au5 structure (PBE-GGA, Alexandria via LeMat-Bulk).

Properties
**Energy relative to the lowest polymorph listed for this composition**: 0 meV per atom
**Electronic total energy**: -3.1003 eV/atom
**Energy of formation**: -0.090 eV per atom
**M_tot**: 0.0 μB/f.u.

Cell and atoms, written as CIF:
```
data_In2Ag5Au5
_chemical_formula_sum 'In2 Ag5 Au5'
_space_group_name_H-M_alt 'P 1'
_space_group_IT_number 1
_cell_length_a 6.763
_cell_length_b 6.763
_cell_length_c 9.577
_cell_angle_alpha 116.15
_cell_angle_beta 116.15
_cell_angle_gamma 35.14
loop_
_space_group_symop_operation_xyz
'x,y,z'
loop_
_atom_site_label
_atom_site_type_symbol
_atom_site_fract_x
_atom_site_fract_y
_atom_site_fract_z
_atom_site_occupancy
In1 In 0.085 0.085 0.254 1
In2 In 0.915 0.915 0.746 1
Ag1 Ag 0.000 0.000 0.500 1
Ag2 Ag 0.169 0.169 0.001 1
Ag3 Ag 0.248 0.248 0.754 1
Ag4 Ag 0.752 0.752 0.246 1
Ag5 Ag 0.831 0.831 0.999 1
Au1 Au 0.332 0.332 0.493 1
Au2 Au 0.417 0.417 0.250 1
Au3 Au 0.500 0.500 0.000 1
Au4 Au 0.583 0.583 0.750 1
Au5 Au 0.668 0.668 0.507 1
```